The following is a DFT calculation (GGA-PBE) of Tm3PdPt5 after structural relaxation.

```
data_Tm3PdPt5
_cell_length_a 8.2719
_cell_length_b 8.2719
_cell_length_c 5.6745
_cell_angle_alpha 90.00
_cell_angle_beta 90.00
_cell_angle_gamma 120.00
_space_group_name_H-M_alt 'P 63/m c m'
_space_group_IT_number 193
_space_group_name_Hall '-P 6c 2'
loop_
_atom_site_label
_atom_site_type_symbol
_atom_site_fract_x
_atom_site_fract_y
_atom_site_fract_z
_atom_site_occupancy
Tm1 Tm 0.0000 0.3514 0.2500 1
Pd1 Pd 0.0000 0.0000 0.0000 1
Pt1 Pt 0.0000 0.3119 0.7500 1
Pt2 Pt 0.3333 0.6667 0.0000 1
```

Results
The value obtained for the total energy is -116.97 eV/cell. The size of the total moment comes out at 0.00 μB per formula unit. The formation energy from the elements is -1075 meV/atom.